The following is a DFT calculation (PBE-GGA) of a relaxed TbDyZnPb crystal.

```
4
Lattice="5.248 0.000 0.000 2.624 4.545 0.000 2.624 1.515 4.285" Properties=species:S:1:pos:R:3 pbc="T T T"
Zn 0.000 0.000 0.000
Pb 5.248 3.030 2.142
Tb 2.624 1.515 1.071
Dy 7.872 4.545 3.214
```

Calculated values
final energy	-3.925	eV/atom
magnetization	0.00	μB/f.u.
space group	F-43m
E_form	-0.37	eV per atom



The following is a DFT calculation (PBE-GGA) of a relaxed ScBO3 crystal.

```
10
Lattice="2.869 0.000 0.000 0.000 5.383 0.000 -1.435 0.000 5.845" Properties=species:S:1:pos:R:3 pbc="T T T"
Sc 0.000 4.037 3.896
B 0.000 4.037 0.945
O 1.435 2.523 4.038
O 1.435 4.037 0.159
O 0.000 2.860 1.808
O 0.000 1.346 5.687
O 0.000 5.215 1.808
B 1.435 1.346 4.901
O 1.435 0.168 4.038
Sc 1.435 1.346 1.949
```

Calculated values
final energy	-8.298	eV/atom
magnetization	0.00	μB/f.u.
ΔE_f (raw)	-2.721	eV/atom
space group	Cmcm



The following is a DFT calculation (PBE-GGA) of a relaxed Tb2HfTl2Te6 crystal.

```
11
Lattice="-3.332 -6.695 -0.180 7.171 0.536 2.059 -3.658 3.081 7.212" Properties=species:S:1:pos:R:3 pbc="T T T"
Te -0.062 1.888 5.913
Tb -1.681 -2.758 4.168
Tl 5.381 -0.696 1.677
Tb 1.862 -0.319 4.923
Te -0.128 -0.605 2.553
Te 3.532 -2.702 3.878
Te 0.243 -4.966 3.178
Te 0.309 -2.473 6.538
Hf -1.829 1.540 3.606
Te -3.350 -0.376 5.212
Tl -1.541 -5.462 0.202
```

Calculated values
final energy	-4.868	eV/atom
magnetization	0.00	μB/f.u.
ΔE_f (raw)	-0.977	eV/atom
space group	C2/m



The following is a DFT calculation (PBE-GGA) of a relaxed PaZnNiSn crystal.

```
4
Lattice="4.743 0.000 0.000 2.372 4.108 0.000 2.372 1.369 3.873" Properties=species:S:1:pos:R:3 pbc="T T T"
Pa 7.115 4.108 2.905
Ni 4.743 2.739 1.936
Sn 2.372 1.369 0.968
Zn 0.000 0.000 0.000
```

Calculated values
final energy	-5.354	eV/atom
magnetization	0.00	μB/f.u.
space group	F-43m
E_form	-0.22	eV per atom



The following is a DFT calculation (PBE-GGA) of a relaxed BaPuUO6 crystal.

```
18
Lattice="-1.295 -3.662 -4.514 -0.196 -1.999 5.606 -10.488 2.889 0.665" Properties=species:S:1:pos:R:3 pbc="T T T"
O -4.246 -1.143 0.581
O -2.503 -3.096 0.713
O -4.489 -1.313 -2.529
Ba 0.000 0.000 0.000
O -2.071 -1.004 -1.567
O -9.907 -1.768 3.323
O -2.921 -3.926 -2.269
Pu -3.184 -1.831 2.399
O -7.489 -1.459 4.285
Pu -8.795 -0.941 -0.642
O -9.057 1.154 4.026
U -3.551 -2.386 -0.975
O -5.072 -3.832 -0.776
O -6.906 1.060 2.533
U -8.428 -0.386 2.731
Ba -5.244 1.445 0.332
O -9.475 0.324 1.044
O -7.733 -1.629 1.176
```

Calculated values
final energy	-9.450	eV/atom
magnetization	4.00	μB/f.u.
ΔE_f (raw)	-3.085	eV/atom
space group	P-31c



The following is a DFT calculation (PBE-GGA) of a relaxed In2Se crystal.

```
6
Lattice="4.201 0.000 0.000 -2.101 3.638 0.000 0.000 0.000 11.461" Properties=species:S:1:pos:R:3 pbc="T T T"
Se 0.000 0.000 8.596
Se 0.000 0.000 2.865
In 2.101 1.213 4.636
In 0.000 2.426 6.825
In 2.101 1.213 1.094
In 0.000 2.426 10.367
```

Calculated values
final energy	-3.281	eV/atom
magnetization	0.00	μB/f.u.
ΔE_f (raw)	-0.294	eV/atom
space group	P6_3/mmc
energy above the lowest structure with this stoichiometry	0.010	eV per atom



The following is a DFT calculation (PBE-GGA) of a relaxed Na2AcH8Rh crystal.

```
12
Lattice="-2.463 3.843 -1.686 -0.963 -1.751 4.437 4.541 4.043 2.581" Properties=species:S:1:pos:R:3 pbc="T T T"
H -1.802 1.782 2.981
Rh 0.000 0.000 0.000
H 1.614 6.385 1.459
H 0.010 0.676 1.526
H -0.500 -0.250 3.873
Na -1.395 2.484 0.677
Ac 2.270 2.021 1.291
H 2.917 4.352 2.351
H 0.944 2.256 3.764
H 1.105 5.459 3.806
H 0.171 3.878 1.568
Na 2.510 3.651 4.654
```

Calculated values
final energy	-3.794	eV/atom
magnetization	0.00	μB/f.u.
space group	P-3m1



The following is a DFT calculation (PBE-GGA) of a relaxed MgSnPt5 crystal.

```
7
Lattice="4.024 0.000 0.000 0.000 4.024 0.000 0.000 0.000 7.621" Properties=species:S:1:pos:R:3 pbc="T T T"
Pt 2.012 0.000 1.815
Pt 2.012 0.000 5.807
Sn 0.000 0.000 3.811
Pt 0.000 2.012 1.815
Pt 2.012 2.012 3.811
Mg 2.012 2.012 0.000
Pt 0.000 2.012 5.807
```

Calculated values
final energy	-5.397	eV/atom
magnetization	0.00	μB/f.u.
space group	P4/mmm
E_form	-0.28	eV per atom



The following is a DFT calculation (PBE-GGA) of a relaxed Ag2OsSe crystal.

```
4
Lattice="-7.356 -0.118 7.563 -5.400 -1.592 8.924 -5.356 1.209 9.010" Properties=species:S:1:pos:R:3 pbc="T T T"
Se -13.584 -0.376 19.123
Ag -9.171 -0.254 12.910
Os -4.528 -0.125 6.374
Ag -17.997 -0.498 25.335
```

Calculated values
final energy	-4.530	eV/atom
magnetization	0.00	μB/f.u.
ΔE_f (raw)	0.575	eV/atom
space group	R-3m



The following is a DFT calculation (PBE-GGA) of a relaxed AcGdSb2 crystal.

```
4
Lattice="4.614 0.000 0.000 2.307 3.995 0.000 2.307 1.332 7.527" Properties=species:S:1:pos:R:3 pbc="T T T"
Gd 0.000 0.000 0.000
Sb 6.920 3.995 5.811
Sb 2.307 1.332 1.716
Ac 4.614 2.664 3.764
```

Calculated values
final energy	-7.783	eV/atom
magnetization	7.07	μB/f.u.
ΔE_f (raw)	-1.174	eV/atom
space group	R-3m
energy above the lowest structure with this stoichiometry	0.000	eV per atom



The following is a DFT calculation (PBE-GGA) of a relaxed Li2MnSnBr6 crystal.

```
10
Lattice="-4.295 3.841 -3.995 0.210 -0.624 -6.980 -5.795 -3.589 -3.376" Properties=species:S:1:pos:R:3 pbc="T T T"
Br -5.912 -1.718 -9.175
Br -2.263 -0.487 -8.249
Sn -6.493 0.684 -10.822
Br -5.236 2.318 -8.607
Br -7.511 -0.027 -6.367
Br -4.887 -2.486 -5.761
Mn -1.502 0.926 -3.650
Li -5.667 -3.455 -3.383
Li -4.763 -0.001 -7.187
Br -3.866 1.242 -4.891
```

Calculated values
final energy	-3.748	eV/atom
magnetization	5.00	μB/f.u.
ΔE_f (raw)	-1.044	eV/atom
space group	R3



The following is a DFT calculation (PBE-GGA) of a relaxed Tb4Er3Tm crystal.

```
16
Lattice="-1.022 5.163 -3.351 -7.105 -0.737 1.032 0.710 6.166 9.285" Properties=species:S:1:pos:R:3 pbc="T T T"
Er -5.094 2.885 -1.526
Tb -6.361 0.121 0.406
Er -2.470 3.569 4.536
Er -2.989 3.747 1.099
Tb -1.203 6.336 2.601
Tb -1.369 9.600 3.810
Tb -1.561 3.250 -2.039
Er -2.634 6.829 5.741
Tb -6.166 6.464 6.250
Er -4.900 9.230 4.322
Tm -2.828 0.486 -0.106
Tb -6.002 3.201 5.050
Tm -4.735 5.969 3.115
Er -5.255 6.146 -0.322
Tb -6.520 3.385 1.613
Tb -1.725 6.513 -0.839
```

Calculated values
final energy	-4.579	eV/atom
magnetization	0.00	μB/f.u.
space group	Pmn2_1
energy above the lowest structure with this stoichiometry	0.000	eV per atom
E_form	0.01	eV per atom